Computed, not measured: an optimized crystal structure of Er3Ga5Se12 at the PBE level of DFT.

Summary:
VASP energy = -722.18 eV/cell
E_form (uncorrected) = -94.7 kJ/mol of atoms

Cell and atoms, written as CIF:
```
data_Er3Ga5Se12
_chemical_formula_sum 'Er24 Ga40 Se96'
_symmetry_space_group_name_H-M 'I a -3 d'
_symmetry_Int_Tables_number 230
_symmetry_space_group_name_Hall '-I 4bd 2c 3'
_cell_length_a 15.837
_cell_length_b 15.837
_cell_length_c 15.837
_cell_angle_alpha 90.00
_cell_angle_beta 90.00
_cell_angle_gamma 90.00
loop_
_atom_site_label
_atom_site_type_symbol
_atom_site_fract_x
_atom_site_fract_y
_atom_site_fract_z
Er1 Er 0.000 0.250 0.125
Ga1 Ga 0.000 0.000 0.000
Ga2 Ga 0.000 0.250 0.375
Se1 Se 0.025 0.061 0.651
```

***

Computed, not measured: an optimized crystal structure of Mo4RhBr at the PBE level of DFT.

Summary:
VASP energy = -189.76 eV/cell
E_form (uncorrected) = 78.9 kJ/mol of atoms

Cell and atoms, written as CIF:
```
data_Mo4RhBr
_chemical_formula_sum 'Mo16 Rh4 Br4'
_symmetry_space_group_name_H-M 'F -4 3 m'
_symmetry_Int_Tables_number 216
_symmetry_space_group_name_Hall 'F -4 2 3'
_cell_length_a 7.445
_cell_length_b 7.445
_cell_length_c 7.445
_cell_angle_alpha 90.00
_cell_angle_beta 90.00
_cell_angle_gamma 90.00
loop_
_atom_site_label
_atom_site_type_symbol
_atom_site_fract_x
_atom_site_fract_y
_atom_site_fract_z
Mo1 Mo 0.124 0.124 0.124
Rh1 Rh 0.250 0.250 0.750
Br1 Br 0.000 0.000 0.500
```

***

Computed, not measured: an optimized crystal structure of Tl3FeI at the PBE level of DFT.

Summary:
VASP energy = -16.48 eV/cell
E_form (uncorrected) = 12.1 kJ/mol of atoms

Cell and atoms, written as CIF:
```
data_Tl3FeI
_chemical_formula_sum 'Tl3 Fe1 I1'
_symmetry_space_group_name_H-M 'P m -3 m'
_symmetry_Int_Tables_number 221
_symmetry_space_group_name_Hall '-P 4 2 3'
_cell_length_a 5.324
_cell_length_b 5.324
_cell_length_c 5.324
_cell_angle_alpha 90.00
_cell_angle_beta 90.00
_cell_angle_gamma 90.00
loop_
_atom_site_label
_atom_site_type_symbol
_atom_site_fract_x
_atom_site_fract_y
_atom_site_fract_z
Tl1 Tl 0.000 0.000 0.500
Fe1 Fe 0.000 0.000 0.000
I1 I 0.500 0.500 0.500
```

***

Computed, not measured: an optimized crystal structure of ScTl2In at the PBE level of DFT.

Summary:
VASP energy = -42.28 eV/cell
E_form = -0.072 eV/atom

Cell and atoms, written as CIF:
```
data_ScTl2In
_chemical_formula_sum 'Sc3 Tl6 In3'
_symmetry_space_group_name_H-M 'R 3 m'
_symmetry_Int_Tables_number 160
_symmetry_space_group_name_Hall 'R 3 -2"'
_cell_length_a 3.4533
_cell_length_b 3.4533
_cell_length_c 31.0662
_cell_angle_alpha 90.00
_cell_angle_beta 90.00
_cell_angle_gamma 120.00
loop_
_atom_site_label
_atom_site_type_symbol
_atom_site_fract_x
_atom_site_fract_y
_atom_site_fract_z
Sc1 Sc 0.0000 0.0000 0.0000
Tl1 Tl 0.0000 0.0000 0.5016
Tl2 Tl 0.0000 0.0000 0.7448
In1 In 0.0000 0.0000 0.2565
```

***

Computed, not measured: an optimized crystal structure of Dy7Ho12Er at the PBE level of DFT.

Summary:
VASP energy = -255.11 eV/cell
E_form = 0.334 eV/atom

Cell and atoms, written as CIF:
```
data_Dy7Ho12Er
_chemical_formula_sum 'Dy21 Ho36 Er3'
_symmetry_space_group_name_H-M 'R -3'
_symmetry_Int_Tables_number 148
_symmetry_space_group_name_Hall '-R 3'
_cell_length_a 18.4114
_cell_length_b 18.4114
_cell_length_c 6.6403
_cell_angle_alpha 90.00
_cell_angle_beta 90.00
_cell_angle_gamma 120.00
loop_
_atom_site_label
_atom_site_type_symbol
_atom_site_fract_x
_atom_site_fract_y
_atom_site_fract_z
Dy1 Dy 0.0000 0.0000 0.0000
Dy2 Dy 0.0081 0.8517 0.2809
Ho1 Ho 0.9996 0.2126 0.2164
Ho2 Ho 0.0065 0.4719 0.2398
Er1 Er 0.0000 0.0000 0.5000
```

***

Computed, not measured: an optimized crystal structure of NaPmAsH at the PBE level of DFT.

Summary:
VASP energy = -65.46 eV/cell

Cell and atoms, written as CIF:
```
data_NaPmAsH
_chemical_formula_sum 'Na4 Pm4 As4 H4'
_symmetry_space_group_name_H-M 'F -4 3 m'
_symmetry_Int_Tables_number 216
_symmetry_space_group_name_Hall 'F -4 2 3'
_cell_length_a 6.841
_cell_length_b 6.841
_cell_length_c 6.841
_cell_angle_alpha 90.00
_cell_angle_beta 90.00
_cell_angle_gamma 90.00
loop_
_atom_site_label
_atom_site_type_symbol
_atom_site_fract_x
_atom_site_fract_y
_atom_site_fract_z
Na1 Na 0.000 0.000 0.000
Pm1 Pm 0.000 0.000 0.500
As1 As 0.250 0.250 0.750
H1 H 0.250 0.250 0.250
```

***

Computed, not measured: an optimized crystal structure of USi3Ir3 at the PBE level of DFT.

Summary:
VASP energy = -110.42 eV/cell
E_form (uncorrected) = -14.7 kJ/mol of atoms

Cell and atoms, written as CIF:
```
data_USi3Ir3
_chemical_formula_sum 'U2 Si6 Ir6'
_symmetry_space_group_name_H-M 'P m -3 n'
_symmetry_Int_Tables_number 223
_symmetry_space_group_name_Hall '-P 4n 2 3'
_cell_length_a 6.541
_cell_length_b 6.541
_cell_length_c 6.541
_cell_angle_alpha 90.00
_cell_angle_beta 90.00
_cell_angle_gamma 90.00
loop_
_atom_site_label
_atom_site_type_symbol
_atom_site_fract_x
_atom_site_fract_y
_atom_site_fract_z
U1 U 0.000 0.000 0.000
Si1 Si 0.000 0.250 0.500
Ir1 Ir 0.000 0.500 0.250
```

***

Computed, not measured: an optimized crystal structure of MnAg3Bi3Se8 at the PBE level of DFT.

Summary:
VASP energy = -184.04 eV/cell
E_form (uncorrected) = -26.4 kJ/mol of atoms

Cell and atoms, written as CIF:
```
data_MnAg3Bi3Se8
_chemical_formula_sum 'Mn3 Ag9 Bi9 Se24'
_symmetry_space_group_name_H-M 'R -3 m'
_symmetry_Int_Tables_number 166
_symmetry_space_group_name_Hall '-R 3 2"'
_cell_length_a 8.2137
_cell_length_b 8.2137
_cell_length_c 19.9949
_cell_angle_alpha 90.00
_cell_angle_beta 90.00
_cell_angle_gamma 120.00
loop_
_atom_site_label
_atom_site_type_symbol
_atom_site_fract_x
_atom_site_fract_y
_atom_site_fract_z
Mn1 Mn 0.0000 0.0000 0.0000
Ag1 Ag 0.0000 0.5000 0.5000
Bi1 Bi 0.0000 0.5000 0.0000
Se1 Se 0.0000 0.0000 0.2450
Se2 Se 0.0459 0.5229 0.7432
```

***

VASP energy of number 8 (MnAg3Bi3Se8)?
-184.04 eV/cell

***

Which formula does entry 3 have?
Tl3FeI

***

VASP energy of number 1 (Er3Ga5Se12)?
-722.18 eV/cell